MnIrBr2O | PBE+U | optimized geometry

The total magnetization comes out at 1.22 μB per formula unit. The energy is -3.16 eV/atom.

It has space group P4/mmm (No. 123), with a = 4.8741 Å, b = 4.8741 Å, c = 4.8849 Å, α = 90.00°, β = 90.00° and γ = 90.00°. The asymmetric unit holds Mn at (0.0000, 0.0000, 0.0000), Ir at (0.0000, 0.0000, 0.5000), Br at (0.0000, 0.5000, 0.0000) and O at (0.5000, 0.5000, 0.5000).